# Na2InTeO | Alexandria via LeMat-Bulk | PBE | optimized geometry
# Formation energy without anion corrections = -0.966 eV per atom
# Size of the total moment = 0.00 μB/cell
# DOS at the Fermi energy = 0.32 states/eV per atom
# Calculated volume = 21.14 Å³ per atom
data_Na2InTeO
_cell_length_a 4.7657
_cell_length_b 4.7657
_cell_length_c 4.6547
_cell_angle_alpha 90.00
_cell_angle_beta 90.00
_cell_angle_gamma 90.00
_space_group_name_H-M_alt 'P 4/m m m'
_space_group_IT_number 123
_space_group_name_Hall '-P 4 2'
loop_
_atom_site_label
_atom_site_type_symbol
_atom_site_fract_x
_atom_site_fract_y
_atom_site_fract_z
Na1 Na 0.0000 0.5000 0.0000
In1 In 0.0000 0.0000 0.5000
Te1 Te 0.5000 0.5000 0.5000
O1 O 0.0000 0.0000 0.0000

***

# HfTl2F11 | Alexandria via LeMat-Bulk | PBE | optimized geometry
# Formation energy without anion corrections = -2.308 eV per atom
# Size of the total moment = 4.25 μB/cell
# Calculated volume = 15.43 Å³ per atom
data_HfTl2F11
_cell_length_a 8.1504
_cell_length_b 10.1026
_cell_length_c 10.4932
_cell_angle_alpha 90.00
_cell_angle_beta 90.00
_cell_angle_gamma 90.00
_space_group_name_H-M_alt 'I b a m'
_space_group_IT_number 72
_space_group_name_Hall '-I 2 2c'
loop_
_atom_site_label
_atom_site_type_symbol
_atom_site_fract_x
_atom_site_fract_y
_atom_site_fract_z
Hf1 Hf 0.0000 0.0000 0.2500
Tl1 Tl 0.1677 0.3067 0.0000
F1 F 0.0000 0.5000 0.0000
F2 F 0.0910 0.1621 0.1469
F3 F 0.1071 0.3138 0.5000
F4 F 0.2024 0.0688 0.3606

***

# SmLuInTc | Alexandria via LeMat-Bulk | PBE | optimized geometry
# Formation enthalpy at 0 K = -46 kJ/mol of formula units
# Size of the total moment = 0.00 μB/cell
# DOS at the Fermi energy = 0.76 states/eV per atom
# Calculated volume = 23.14 Å³ per atom
data_SmLuInTc
_cell_length_a 7.1811
_cell_length_b 7.1811
_cell_length_c 7.1811
_cell_angle_alpha 90.00
_cell_angle_beta 90.00
_cell_angle_gamma 90.00
_space_group_name_H-M_alt 'F -4 3 m'
_space_group_IT_number 216
_space_group_name_Hall 'F -4 2 3'
loop_
_atom_site_label
_atom_site_type_symbol
_atom_site_fract_x
_atom_site_fract_y
_atom_site_fract_z
Sm1 Sm 0.0000 0.0000 0.0000
Lu1 Lu 0.0000 0.0000 0.5000
In1 In 0.2500 0.2500 0.2500
Tc1 Tc 0.2500 0.2500 0.7500

***

# LiErPuZn | Alexandria via LeMat-Bulk | PBE | optimized geometry
# Formation enthalpy at 0 K = 26 kJ/mol of formula units
# Size of the total moment = 26.48 μB/cell
# DOS at the Fermi energy = 2.01 states/eV per atom
# Calculated volume = 23.05 Å³ per atom
data_LiErPuZn
_cell_length_a 7.1712
_cell_length_b 7.1712
_cell_length_c 7.1712
_cell_angle_alpha 90.00
_cell_angle_beta 90.00
_cell_angle_gamma 90.00
_space_group_name_H-M_alt 'F -4 3 m'
_space_group_IT_number 216
_space_group_name_Hall 'F -4 2 3'
loop_
_atom_site_label
_atom_site_type_symbol
_atom_site_fract_x
_atom_site_fract_y
_atom_site_fract_z
Li1 Li 0.0000 0.0000 0.0000
Er1 Er 0.2500 0.2500 0.2500
Pu1 Pu 0.2500 0.2500 0.7500
Zn1 Zn 0.0000 0.0000 0.5000

***

# Cs3Ag2PbI9 | Alexandria via LeMat-Bulk | PBE | optimized geometry
# Formation energy without anion corrections = -0.783 eV per atom
# Size of the total moment = 0.00 μB/cell
# DOS at the Fermi energy = 0.45 states/eV per atom
# Calculated volume = 43.85 Å³ per atom
data_Cs3Ag2PbI9
_cell_length_a 8.5121
_cell_length_b 8.5121
_cell_length_c 10.4815
_cell_angle_alpha 90.00
_cell_angle_beta 90.00
_cell_angle_gamma 120.00
_space_group_name_H-M_alt 'P -3 m 1'
_space_group_IT_number 164
_space_group_name_Hall '-P 3 2"'
loop_
_atom_site_label
_atom_site_type_symbol
_atom_site_fract_x
_atom_site_fract_y
_atom_site_fract_z
Cs1 Cs 0.0000 0.0000 0.0000
Cs2 Cs 0.3333 0.6667 0.6719
Ag1 Ag 0.3333 0.6667 0.1546
Pb1 Pb 0.0000 0.0000 0.5000
I1 I 0.0000 0.5000 0.0000
I2 I 0.1723 0.3446 0.3253

***

# LiHPtSe | Alexandria via LeMat-Bulk | PBE | optimized geometry
# Size of the total moment = 0.00 μB/cell
# DOS at the Fermi energy = 0.06 states/eV per atom
# Calculated volume = 16.80 Å³ per atom
# Offset from the most stable computed form = 121 meV per atom
data_LiHPtSe
_cell_length_a 4.3157
_cell_length_b 2.9306
_cell_length_c 5.5158
_cell_angle_alpha 90.00
_cell_angle_beta 105.63
_cell_angle_gamma 90.00
_space_group_name_H-M_alt 'P 1 m 1'
_space_group_IT_number 6
loop_
_space_group_symop_operation_xyz
'x,y,z'
'x,-y,z'
loop_
_atom_site_label
_atom_site_type_symbol
_atom_site_fract_x
_atom_site_fract_y
_atom_site_fract_z
Li1 Li 0.0000 0.0000 0.0000
H1 H 0.3124 0.5000 0.9230
Pt1 Pt 0.5806 0.5000 0.1929
Se1 Se 0.9441 0.0000 0.4932